Entry w
The following is a DFT calculation (PBE-GGA) of Tb6Cd3Co after structural relaxation.

Geometry as CIF:
```
data_Tb6Cd3Co
_chemical_formula_sum 'Tb12 Cd6 Co2'
_space_group_name_H-M_alt 'P 1'
_space_group_IT_number 1
_cell_length_a 9.124
_cell_length_b 11.216
_cell_length_c 5.204
_cell_angle_alpha 90.00
_cell_angle_beta 90.00
_cell_angle_gamma 90.00
loop_
_space_group_symop_operation_xyz
'x,y,z'
loop_
_atom_site_label
_atom_site_fract_x
_atom_site_fract_y
_atom_site_fract_z
_atom_site_occupancy
Tb1 0.017 0.230 0.000 1
Tb2 0.154 0.076 0.500 1
Tb3 0.195 0.415 0.500 1
Tb4 0.305 0.915 0.000 1
Tb5 0.346 0.576 0.000 1
Tb6 0.483 0.730 0.500 1
Tb7 0.517 0.270 0.500 1
Tb8 0.654 0.424 0.000 1
Tb9 0.695 0.085 0.000 1
Tb10 0.805 0.585 0.500 1
Tb11 0.846 0.924 0.500 1
Tb12 0.983 0.770 0.000 1
Cd1 0.000 0.500 0.000 1
Cd2 0.149 0.723 0.500 1
Cd3 0.351 0.223 0.000 1
Cd4 0.500 0.000 0.500 1
Cd5 0.649 0.777 0.000 1
Cd6 0.851 0.277 0.500 1
Co1 0.000 0.000 0.000 1
Co2 0.500 0.500 0.500 1
```

Calculated values
The space group is No. 58. As for the spin magnetization: 0.0 μB/f.u.

---

Entry x
The following is a DFT calculation (PBE-GGA) of Tb6Cd3Co after structural relaxation.

Geometry as CIF:
```
data_Tb6Cd3Co
_chemical_formula_sum 'Tb12 Cd6 Co2'
_space_group_name_H-M_alt 'P 1'
_space_group_IT_number 1
_cell_length_a 9.093
_cell_length_b 5.307
_cell_length_c 11.395
_cell_angle_alpha 90.00
_cell_angle_beta 108.80
_cell_angle_gamma 90.00
loop_
_space_group_symop_operation_xyz
'x,y,z'
loop_
_atom_site_label
_atom_site_fract_x
_atom_site_fract_y
_atom_site_fract_z
_atom_site_occupancy
Tb1 0.033 0.250 0.416 1
Tb2 0.195 0.750 0.162 1
Tb3 0.283 0.250 0.002 1
Tb4 0.350 0.750 0.837 1
Tb5 0.378 0.250 0.352 1
Tb6 0.391 0.250 0.656 1
Tb7 0.609 0.750 0.344 1
Tb8 0.622 0.750 0.648 1
Tb9 0.650 0.250 0.163 1
Tb10 0.717 0.750 0.998 1
Tb11 0.805 0.250 0.838 1
Tb12 0.967 0.750 0.584 1
Cd1 0.005 0.750 0.870 1
Cd2 0.078 0.250 0.720 1
Cd3 0.269 0.750 0.474 1
Cd4 0.731 0.250 0.526 1
Cd5 0.922 0.750 0.280 1
Cd6 0.995 0.250 0.130 1
Co1 0.462 0.750 0.093 1
Co2 0.538 0.250 0.907 1
```

Calculated values
The space group is No. 11. As for the spin magnetization: 0.1 μB/f.u.

---

Which of them is the most stable, and which is the least stable? entry x and entry w, in that order.

---

Entry w
The following is a DFT calculation (PBE-GGA) of TbYCdCo after structural relaxation.

Geometry as CIF:
```
data_TbYCdCo
_chemical_formula_sum 'Tb1 Y1 Cd1 Co1'
_space_group_name_H-M_alt 'P 1'
_space_group_IT_number 1
_cell_length_a 3.448
_cell_length_b 3.448
_cell_length_c 7.638
_cell_angle_alpha 90.00
_cell_angle_beta 90.00
_cell_angle_gamma 90.00
loop_
_space_group_symop_operation_xyz
'x,y,z'
loop_
_atom_site_label
_atom_site_fract_x
_atom_site_fract_y
_atom_site_fract_z
_atom_site_occupancy
Tb1 0.000 0.000 0.000 1
Y1 0.000 0.000 0.574 1
Cd1 0.500 0.500 0.288 1
Co1 0.500 0.500 0.788 1
```

Calculated values
The space group is No. 99. As for the spin magnetization: 0.5 μB/f.u.

---

Entry x
The following is a DFT calculation (PBE-GGA) of TbYCdCo after structural relaxation.

Geometry as CIF:
```
data_TbYCdCo
_chemical_formula_sum 'Tb1 Y1 Cd1 Co1'
_space_group_name_H-M_alt 'P 1'
_space_group_IT_number 1
_cell_length_a 5.051
_cell_length_b 5.051
_cell_length_c 5.051
_cell_angle_alpha 60.00
_cell_angle_beta 60.00
_cell_angle_gamma 60.00
loop_
_space_group_symop_operation_xyz
'x,y,z'
loop_
_atom_site_label
_atom_site_fract_x
_atom_site_fract_y
_atom_site_fract_z
_atom_site_occupancy
Tb1 0.000 0.000 0.000 1
Y1 0.500 0.500 0.500 1
Cd1 0.750 0.750 0.750 1
Co1 0.250 0.250 0.250 1
```

Calculated values
The space group is No. 216. As for the spin magnetization: 0.5 μB/f.u.

---

Which of them is the most stable, and which is the least stable? entry w and entry x, in that order.

---

Entry w
The following is a DFT calculation (PBE-GGA) of CdCoTe after structural relaxation.

Geometry as CIF:
```
data_CdCoTe
_chemical_formula_sum 'Cd1 Co1 Te1'
_space_group_name_H-M_alt 'P 1'
_space_group_IT_number 1
_cell_length_a 3.466
_cell_length_b 3.466
_cell_length_c 6.175
_cell_angle_alpha 90.00
_cell_angle_beta 90.00
_cell_angle_gamma 120.00
loop_
_space_group_symop_operation_xyz
'x,y,z'
loop_
_atom_site_label
_atom_site_fract_x
_atom_site_fract_y
_atom_site_fract_z
_atom_site_occupancy
Cd1 0.000 0.000 0.000 1
Co1 0.667 0.333 0.306 1
Te1 0.333 0.667 0.536 1
```

Calculated values
The space group is No. 156. As for the spin magnetization: 0.0 μB/f.u.

---

Entry x
The following is a DFT calculation (PBE-GGA) of CdCoTe after structural relaxation.

Geometry as CIF:
```
data_CdCoTe
_chemical_formula_sum 'Cd1 Co1 Te1'
_space_group_name_H-M_alt 'P 1'
_space_group_IT_number 1
_cell_length_a 6.713
_cell_length_b 6.713
_cell_length_c 6.713
_cell_angle_alpha 152.90
_cell_angle_beta 152.90
_cell_angle_gamma 38.70
loop_
_space_group_symop_operation_xyz
'x,y,z'
loop_
_atom_site_label
_atom_site_fract_x
_atom_site_fract_y
_atom_site_fract_z
_atom_site_occupancy
Cd1 0.000 0.000 0.000 1
Co1 0.644 0.644 0.000 1
Te1 0.250 0.250 0.000 1
```

Calculated values
The space group is No. 107. As for the spin magnetization: 0.3 μB/f.u.

---

Which of them is the most stable, and which is the least stable? entry w and entry x, in that order.